20
Lattice="12.3688 0.0000 0.0000 0.0000 5.8150 0.0000 0.0000 0.0000 5.6881" Properties=species:S:1:pos:R:3 comment="ThMnAs3 (PBE, relaxed)" density_g_cm3=8.31 ef_ev_per_atom=-0.70 magmom_total_mub_per_atom=0.556 pbc="T T T"
Th 2.3523 0.0265 1.4220
Th 2.3523 2.8810 4.2661
Th 10.0165 2.9339 1.4220
Th 10.0165 5.7885 4.2661
Mn 5.1907 4.3612 0.0000
Mn 5.1907 4.3612 2.8440
Mn 7.1782 1.4537 0.0000
Mn 7.1782 1.4537 2.8440
As 0.0066 4.3612 0.0000
As 0.0066 4.3612 2.8440
As 3.4076 3.0000 1.4220
As 3.4076 5.7224 4.2661
As 5.3626 0.5828 1.4220
As 5.3626 2.3247 4.2661
As 7.0063 3.4903 1.4220
As 7.0063 5.2321 4.2661
As 8.9612 0.0926 1.4220
As 8.9612 2.8149 4.2661
As 12.3623 1.4537 0.0000
As 12.3623 1.4537 2.8440